CuHgC3, optimized geometry, DFT PBE; energy of formation from the pure elements = 3.657 eV/atom; VASP energy = -2.76 eV/atom; space group = Pm-3m, No. 221; N(E_F) = 3.1 states/eV/f.u.; energy above the lowest structure with this stoichiometry = 898 meV per atom
1.0
4.3000 0.0000 0.0000
0.0000 4.3000 0.0000
0.0000 0.0000 4.3000
Cu Hg C
1 1 3
Direct
0.0000 0.0000 0.0000
0.5000 0.5000 0.5000
0.0000 0.5000 0.5000
0.5000 0.0000 0.5000
0.5000 0.5000 0.0000